No. 1
Here is crystalline Rb2YTeI6 at its relaxed geometry from Alexandria. Energies are from PBE.

POSCAR file:
```
Rb2YTeI6
1.0
-4.3343 4.3343 7.0246
4.3343 -4.3343 7.0246
4.3343 4.3343 -7.0246
Rb Y Te I
2 1 1 6
direct
0.2500 0.7500 0.5000
0.7500 0.2500 0.5000
0.0000 0.0000 0.0000
0.5000 0.5000 0.0000
0.2145 0.2145 0.0000
0.2477 0.2477 0.4954
0.2477 0.7523 0.0000
0.7523 0.2477 0.0000
0.7523 0.7523 0.5046
0.7855 0.7855 0.0000
```

Formation energy without anion corrections (eV per atom): -0.9650
Space group: I4/mmm
Total magnetization (μB/cell): 0.001

=====

No. 2
Here is crystalline RbZnTe2I at its relaxed geometry from Alexandria. Energies are from PBE.

POSCAR file:
```
RbZnTe2I
1.0
5.3144 0.0000 0.0000
0.0000 5.3144 0.0000
0.0000 0.0000 6.6813
Rb Zn Te I
1 1 2 1
direct
0.0000 0.0000 0.0000
0.5000 0.5000 0.5000
0.0000 0.5000 0.5000
0.5000 0.0000 0.5000
0.5000 0.5000 0.0000
```

Formation energy without anion corrections (eV per atom): -0.3561
Space group: P4/mmm
Total magnetization (μB/cell): 0.000

=====

Q: formation energy without anion corrections of number 2 (RbZnTe2I)?
A: -0.3561 eV per atom